## PrNi2H6 (GGA-PBE)

Data for an optimized crystal structure of PrNi2H6.

Computed properties:
- total moment (μB per cell) = 0.00
- calculated volume (Å³/f.u.) = 73.7
- crystal system = hexagonal
- E (eV/cell) = -40.058

```
PrNi2H6
1.0
-0.0394 3.3115 2.9887
-3.6933 -0.9656 -2.3080
-1.1799 -2.7606 3.0431
Ni H Pr
2 6 1
Direct
0.3333 0.6667 0.5000
0.6667 0.3333 0.5000
0.4999 0.4999 0.2608
0.0000 0.5001 0.2608
0.4999 0.0000 0.7392
0.5001 0.0000 0.2608
0.0000 0.4999 0.7392
0.5001 0.5001 0.7392
0.0000 0.0000 0.0000
```

## KYBe2 (GGA-PBE)

Data for an optimized crystal structure of KYBe2.

Computed properties:
- total moment (μB per cell) = 0.00
- calculated volume (Å³/f.u.) = 106.9
- ΔE_f (eV/atom) = 0.876
- energy above the lowest structure with this stoichiometry (meV per atom) = 503
- crystal system = trigonal
- E (eV/cell) = -11.512

```
KYBe2
1.0
9.4466 -0.0116 -0.0069
8.7417 3.5807 -0.0069
8.7417 1.7154 3.1430
K Be Y
1 2 1
Direct
0.2500 0.2500 0.2500
0.4866 0.4866 0.4866
0.0134 0.0134 0.0134
0.7500 0.7500 0.7500
```

Repeat the second record exactly.
## KYBe2 (GGA-PBE)

Data for an optimized crystal structure of KYBe2.

Computed properties:
- total moment (μB per cell) = 0.00
- calculated volume (Å³/f.u.) = 106.9
- ΔE_f (eV/atom) = 0.876
- energy above the lowest structure with this stoichiometry (meV per atom) = 503
- crystal system = trigonal
- E (eV/cell) = -11.512

```
KYBe2
1.0
9.4466 -0.0116 -0.0069
8.7417 3.5807 -0.0069
8.7417 1.7154 3.1430
K Be Y
1 2 1
Direct
0.2500 0.2500 0.2500
0.4866 0.4866 0.4866
0.0134 0.0134 0.0134
0.7500 0.7500 0.7500
```

Look up the total moment of the second one.
0.00 μB per cell

Which value of calculated volume does entry 1 give?
73.7 Å³/f.u.